Entry from Alexandria: a relaxed structure of Nd3Os2N6 (PBE-GGA).

Formation energy without anion corrections = -0.63 eV/atom
Magnetization = 0.0 Bohr magnetons per cell

CIF file:
```
data_Nd3Os2N6
_cell_length_a 3.894
_cell_length_b 3.894
_cell_length_c 19.868
_cell_angle_alpha 90.00
_cell_angle_beta 90.00
_cell_angle_gamma 90.00
_space_group_name_H-M_alt 'I 4/m m m'
_space_group_IT_number 139
_space_group_name_Hall '-I 4 2'
loop_
_atom_site_label
_atom_site_fract_x
_atom_site_fract_y
_atom_site_fract_z
Nd1 0.000 0.000 0.000
Nd2 0.000 0.000 0.186
Os1 0.000 0.000 0.411
N1 0.000 0.000 0.303
N2 0.000 0.500 0.086
```